Entry 1:
The following is a DFT calculation (GGA-PBE) of an optimized crystal structure of Ac2LaGe4Pd3.

POSCAR file:
```
Ac2LaGe4Pd3
1.0
-3.5598 -0.6466 -2.6255
2.6258 -1.8628 -3.1015
-1.6927 -10.5217 4.8865
Ac Ge La Pd
2 4 1 3
Direct
0.0000 0.5000 0.7783 Ac
0.5000 0.0000 0.2217 Ac
0.5000 0.5000 0.0000 Ge
0.0000 0.5000 0.3278 Ge
0.0000 0.0000 0.0000 Ge
0.5000 0.0000 0.6722 Ge
0.5000 0.5000 0.5000 La
0.0000 0.5000 0.1109 Pd
0.0000 0.0000 0.5000 Pd
0.5000 0.0000 0.8891 Pd
```

## Properties
- Calculated volume: 234.3 Å³/f.u.
- Raw total energy: -5.488 eV/atom
- Formation energy from the elements: -7.7 eV/f.u.
- D(E_F): 4.6 states/eV per cell

***

Entry 2:
The following is a DFT calculation (GGA-PBE) of an optimized crystal structure of LaMoSe2.

POSCAR file:
```
LaMoSe2
1.0
4.0862 0.0000 0.0000
0.0000 3.6459 -0.0027
0.0000 0.4889 6.1146
Se Mo La
2 1 1
Direct
0.0000 0.6440 0.5159 Se
0.0000 0.8560 0.9841 Se
0.5000 0.7500 0.7500 Mo
0.5000 0.2500 0.2500 La
```

## Properties
- ΔE_f (raw): -610 meV/atom
- Calculated volume: 91.1 Å³/f.u.
- Raw total energy: -6.292 eV/atom
- D(E_F): 3.8 states/eV per cell
- Polymorph energy (0 for the lowest one): 266 meV per atom

***

Entry 3:
The following is a DFT calculation (GGA-PBE) of an optimized crystal structure of TeSCl3.

POSCAR file:
```
TeSCl3
1.0
-0.2636 2.6242 -4.6256
2.8499 -3.8405 -2.3412
-4.4901 -2.5916 -1.2144
Cl S Te
3 1 1
Direct
0.0000 0.0000 0.5000 Cl
0.0000 0.5000 0.0000 Cl
0.5000 0.0000 0.0000 Cl
0.5000 0.5000 0.5000 S
0.0000 0.0000 0.0000 Te
```

## Properties
- ΔE_f (raw): 284 meV/atom
- Calculated volume: 151.0 Å³/f.u.
- Raw total energy: -2.278 eV/atom
- D(E_F): 8.1 states/eV per cell
- Polymorph energy (0 for the lowest one): 690 meV per atom

***

Entry 4:
The following is a DFT calculation (GGA-PBE) of an optimized crystal structure of SmBi3Ru4O14.

POSCAR file:
```
SmBi3Ru4O14
1.0
-7.1694 1.4252 0.8304
-4.3926 0.4555 -5.8838
-4.9949 -5.2401 -1.3090
O Ru Bi Sm
14 4 3 1
Direct
0.3298 0.3298 0.9233 O
0.9233 0.3298 0.3298 O
0.6723 0.0782 0.0782 O
0.0767 0.6702 0.6702 O
0.3764 0.3764 0.3764 O
0.0782 0.6723 0.0782 O
0.0782 0.0782 0.6723 O
0.6702 0.6702 0.0767 O
0.3277 0.9218 0.9218 O
0.9218 0.9218 0.3277 O
0.3298 0.9233 0.3298 O
0.9218 0.3277 0.9218 O
0.6236 0.6236 0.6236 O
0.6702 0.0767 0.6702 O
0.0000 0.5000 0.0000 Ru
0.0000 0.0000 0.5000 Ru
0.5000 0.0000 0.0000 Ru
0.0000 0.0000 0.0000 Ru
0.5000 0.0000 0.5000 Bi
0.5000 0.5000 0.0000 Bi
0.0000 0.5000 0.5000 Bi
0.5000 0.5000 0.5000 Sm
```

## Properties
- ΔE_f (raw): -1354 meV/atom
- Calculated volume: 280.0 Å³/f.u.
- Raw total energy: -6.939 eV/atom
- D(E_F): 6.5 states/eV per cell

***

Entry 5:
The following is a DFT calculation (GGA-PBE) of an optimized crystal structure of TaCoCuPd.

POSCAR file:
```
TaCoCuPd
1.0
-1.8671 3.1588 -2.2337
-4.0179 1.2031 0.9290
-0.7278 3.8044 1.8576
Co Ta Pd Cu
1 1 1 1
Direct
0.0000 0.0000 0.0000 Co
0.7500 0.7500 0.7500 Ta
0.5000 0.5000 0.5000 Pd
0.2500 0.2500 0.2500 Cu
```

## Properties
- Calculated volume: 56.1 Å³/f.u.
- Raw total energy: -7.152 eV/atom
- Formation energy from the elements: -0.4 eV/f.u.
- D(E_F): 3.6 states/eV per cell

***

Entry 6:
The following is a DFT calculation (GGA-PBE) of an optimized crystal structure of Dy4PSe3.

POSCAR file:
```
Dy4PSe3
1.0
-2.8627 2.3190 -4.3891
-0.2160 -5.1200 -2.5643
-4.9593 -1.1156 2.6452
Dy Se P
4 3 1
Direct
0.0000 0.5000 0.0000 Dy
0.5000 0.0000 0.0000 Dy
0.5000 0.5000 0.5000 Dy
0.0000 0.0000 0.5000 Dy
0.0000 0.5000 0.5000 Se
0.5000 0.5000 0.0000 Se
0.5000 0.0000 0.5000 Se
0.0000 0.0000 0.0000 P
```

## Properties
- ΔE_f (raw): -1761 meV/atom
- Calculated volume: 188.2 Å³/f.u.
- Raw total energy: -6.045 eV/atom
- D(E_F): 1.6 states/eV per cell

***

Entry 7:
The following is a DFT calculation (GGA-PBE) of an optimized crystal structure of Mn2FeHN.

POSCAR file:
```
Mn2FeHN
1.0
3.9040 0.0000 0.0000
0.0000 3.1396 0.0000
0.0000 0.0000 3.9040
Fe Mn N H
1 2 1 1
Direct
0.0000 0.5000 0.0000 Fe
0.5000 0.0000 0.0000 Mn
0.0000 0.0000 0.5000 Mn
0.5000 0.5000 0.5000 N
0.0000 0.0000 0.0000 H
```

## Properties
- Calculated volume: 47.9 Å³/f.u.
- Raw total energy: -6.964 eV/atom
- D(E_F): 4.5 states/eV per cell

***

Entry 8:
The following is a DFT calculation (GGA-PBE) of an optimized crystal structure of Sr3Cd2Ag.

POSCAR file:
```
Sr3Cd2Ag
1.0
-3.2185 1.2076 -1.9536
0.6232 -4.3156 -3.6942
-5.2187 -2.8312 6.8475
Sr Cd Ag
3 2 1
Direct
0.5000 0.5000 0.0000 Sr
0.5000 0.1618 0.3236 Sr
0.5000 0.8382 0.6764 Sr
0.0000 0.6712 0.3425 Cd
0.0000 0.3288 0.6575 Cd
0.0000 0.0000 0.0000 Ag
```

## Properties
- Calculated volume: 194.3 Å³/f.u.
- Raw total energy: -1.927 eV/atom
- Formation energy from the elements: -1.8 eV/f.u.
- D(E_F): 4.5 states/eV per cell
- Polymorph energy (0 for the lowest one): 4 meV per atom

***

Entry 9:
The following is a DFT calculation (GGA-PBE) of an optimized crystal structure of Rb2UTe4Pd.

POSCAR file:
```
Rb2UTe4Pd
1.0
6.7101 0.0000 0.0000
3.3550 7.7569 0.0000
3.3550 0.0000 13.2180
Pd Te U Rb
2 8 2 4
Direct
0.2500 0.5000 0.5000 Pd
0.5000 0.0000 0.0000 Pd
0.5353 0.2817 0.6082 Te
0.3248 0.7817 0.1082 Te
0.5670 0.2183 0.1082 Te
0.8936 0.7817 0.8918 Te
0.8564 0.7183 0.6082 Te
0.4252 0.7183 0.3918 Te
0.1830 0.2817 0.3918 Te
0.2147 0.2183 0.8918 Te
0.0000 0.0000 0.0000 U
0.7500 0.5000 0.5000 U
0.5689 0.5000 0.8623 Rb
0.1811 0.0000 0.6377 Rb
0.9311 0.5000 0.1377 Rb
0.8189 0.0000 0.3623 Rb
```

## Properties
- ΔE_f (raw): -549 meV/atom
- Calculated volume: 344.0 Å³/f.u.
- Raw total energy: -4.422 eV/atom
- D(E_F): 14.4 states/eV per cell

***

Entry 10:
The following is a DFT calculation (GGA-PBE) of an optimized crystal structure of SiSbRh2.

POSCAR file:
```
SiSbRh2
1.0
-2.5652 4.0878 -2.2184
-1.3526 -3.0797 -4.1107
-7.0748 -1.1289 -0.2579
Si Rh Sb
2 4 2
Direct
0.2500 0.7500 0.5000 Si
0.5000 0.5000 0.0000 Si
0.3750 0.4261 0.7500 Rh
0.1761 0.6250 0.2500 Rh
0.8750 0.8239 0.7500 Rh
0.5739 0.1250 0.2500 Rh
0.0000 0.0000 0.0000 Sb
0.7500 0.2500 0.5000 Sb
```

## Properties
- ΔE_f (raw): -158 meV/atom
- Calculated volume: 86.1 Å³/f.u.
- Raw total energy: -6.220 eV/atom
- D(E_F): 4.0 states/eV per cell
- Polymorph energy (0 for the lowest one): 337 meV per atom

***

Entry 11:
The following is a DFT calculation (GGA-PBE) of an optimized crystal structure of VHg2RuW.

POSCAR file:
```
VHg2RuW
1.0
-0.5797 -4.5492 -2.5185
3.7174 -1.4814 1.8202
-2.7322 -1.8896 4.0420
Ru Hg V W
1 2 1 1
Direct
0.5000 0.5000 0.5000 Ru
0.0000 0.0000 0.5000 Hg
0.5000 0.0000 0.0000 Hg
0.0000 0.5000 0.0000 V
0.0000 0.0000 0.0000 W
```

## Properties
- Calculated volume: 120.3 Å³/f.u.
- Raw total energy: -4.587 eV/atom
- Formation energy from the elements: 9.0 eV/f.u.
- D(E_F): 5.5 states/eV per cell

***

Entry 12:
The following is a DFT calculation (GGA-PBE) of an optimized crystal structure of YPu4.

POSCAR file:
```
YPu4
1.0
-5.3516 -1.1940 -1.0006
0.0220 -3.6375 4.2231
-1.5577 4.0508 3.4972
Pu Y
4 1
Direct
0.0000 0.5000 0.5000 Pu
0.0000 0.0000 0.0000 Pu
0.5000 0.5000 0.0000 Pu
0.5000 0.0000 0.5000 Pu
0.5000 0.5000 0.5000 Y
```

## Properties
- Calculated volume: 173.2 Å³/f.u.
- Raw total energy: -11.512 eV/atom
- Formation energy from the elements: 6.2 eV/f.u.
- D(E_F): 47.5 states/eV per cell